Entry 1:
Computed, not measured: an optimized crystal structure of Dy5CS4 at the PBE level of DFT. Values from VASP.

- Space-group type: I4/mmm
- E_form (uncorrected): -16.84 eV per formula unit
- E: -0.4821 Ry per atom
- Size of the total moment: 0.0 μB per cell
- Density of states at the Fermi level: 3.56 states/eV per cell

Geometry as Quantum ESPRESSO input:
```
&SYSTEM
  ibrav = 0, nat = 10, ntyp = 3
/
ATOMIC_SPECIES
Dy 162.50 Dy.upf
C 12.01 C.upf
S 32.06 S.upf
CELL_PARAMETERS angstrom
-1.9282 1.9282 13.6924
1.9282 -1.9282 13.6924
1.9282 1.9282 -13.6924
ATOMIC_POSITIONS angstrom
Dy 0.0000 0.0000 0.0000
Dy 0.0000 0.0000 5.5354
Dy 0.0000 0.0000 11.2984
Dy 0.0000 0.0000 16.0864
Dy 0.0000 0.0000 21.8493
C 0.0000 0.0000 13.6924
S 0.0000 0.0000 2.7450
S 0.0000 0.0000 8.3211
S 0.0000 0.0000 19.0637
S 0.0000 0.0000 24.6398
```

***

Entry 2:
Computed, not measured: an optimized crystal structure of Dy6CS3 at the PBE level of DFT. Values from VASP.

- Space-group type: P2_1/c
- E_form (uncorrected): -11.74 eV per formula unit
- E: -0.4480 Ry per atom
- Size of the total moment: 0.0 μB per cell
- Density of states at the Fermi level: 13.87 states/eV per cell

Geometry as Quantum ESPRESSO input:
```
&SYSTEM
  ibrav = 0, nat = 20, ntyp = 3
/
ATOMIC_SPECIES
Dy 162.50 Dy.upf
C 12.01 C.upf
S 32.06 S.upf
CELL_PARAMETERS angstrom
6.3829 0.0000 0.0000
0.0000 7.1768 0.0000
-5.4951 0.0000 9.7244
ATOMIC_POSITIONS angstrom
Dy -1.7657 1.4604 4.2498
Dy -4.5133 2.1280 9.1120
Dy -0.7500 4.8173 4.0648
Dy -3.4976 5.9478 8.9270
Dy 1.2268 0.1740 2.2189
Dy -1.5208 3.4144 7.0811
Dy 2.4086 3.7624 2.6433
Dy -0.3390 7.0028 7.5055
Dy 4.3854 1.2290 0.7975
Dy 1.6378 2.3594 5.6597
Dy 5.4011 5.0488 0.6124
Dy 2.6535 5.7164 5.4746
C 0.0000 0.0000 0.0000
C -2.7476 3.5884 4.8622
S -2.8634 0.8814 6.9216
S -0.1158 2.7070 2.0594
S 0.4439 0.0000 4.8622
S 3.1915 3.5884 0.0000
S 1.0036 4.4698 7.6650
S 3.7512 6.2954 2.8028
```

***

Entry 3:
Computed, not measured: an optimized crystal structure of Dy8CS6 at the PBE level of DFT. Values from VASP.

- Space-group type: P-3
- E_form (uncorrected): -17.63 eV per formula unit
- E: -0.4333 Ry per atom
- Size of the total moment: 0.0 μB per cell
- Density of states at the Fermi level: 8.86 states/eV per cell

Geometry as Quantum ESPRESSO input:
```
&SYSTEM
  ibrav = 0, nat = 15, ntyp = 3
/
ATOMIC_SPECIES
Dy 162.50 Dy.upf
C 12.01 C.upf
S 32.06 S.upf
CELL_PARAMETERS angstrom
9.7631 0.0000 0.0000
-4.8815 8.4551 0.0000
0.0000 0.0000 3.9896
ATOMIC_POSITIONS angstrom
Dy -3.2973 6.1429 1.0498
Dy 1.2103 2.5281 1.0498
Dy 2.7946 0.2159 2.9398
Dy 0.0000 5.6367 2.9739
Dy 4.8815 2.8184 1.0157
Dy 2.0870 8.2391 1.0498
Dy 3.6712 5.9269 2.9398
Dy 8.1788 2.3122 2.9398
C 0.0000 0.0000 1.9948
S -1.0649 4.0294 0.9790
S -0.8595 7.3626 0.9790
S 2.9571 2.9369 3.0106
S 1.9244 5.5182 0.9790
S 5.7411 1.0925 3.0106
S 5.9464 4.4257 3.0106
```

***

Entry 4:
Computed, not measured: an optimized crystal structure of Dy2CS at the PBE level of DFT. Values from VASP.

- Space-group type: R3m
- E_form (uncorrected): -4.82 eV per formula unit
- E: -0.5031 Ry per atom
- Size of the total moment: 0.0 μB per cell
- Density of states at the Fermi level: 0.01 states/eV per cell

Geometry as Quantum ESPRESSO input:
```
&SYSTEM
  ibrav = 0, nat = 4, ntyp = 3
/
ATOMIC_SPECIES
Dy 162.50 Dy.upf
C 12.01 C.upf
S 32.06 S.upf
CELL_PARAMETERS angstrom
1.8396 1.0621 6.5401
-1.8396 1.0621 6.5401
0.0000 -2.1242 6.5401
ATOMIC_POSITIONS angstrom
Dy 0.0000 0.0000 0.0000
Dy 0.0000 0.0000 3.8245
C 0.0000 0.0000 11.7386
S 0.0000 0.0000 8.4256
```

***

Entry 5:
Computed, not measured: an optimized crystal structure of Dy6C3S2 at the PBE level of DFT. Values from VASP.

- Space-group type: C2/m
- E_form (uncorrected): -11.22 eV per formula unit
- E: -0.4995 Ry per atom
- Size of the total moment: 0.9 μB per cell
- Density of states at the Fermi level: 3.28 states/eV per cell

Geometry as Quantum ESPRESSO input:
```
&SYSTEM
  ibrav = 0, nat = 11, ntyp = 3
/
ATOMIC_SPECIES
Dy 162.50 Dy.upf
C 12.01 C.upf
S 32.06 S.upf
CELL_PARAMETERS angstrom
3.1893 -5.5215 0.0000
3.1893 5.5215 0.0000
-2.1396 0.0000 6.3603
ATOMIC_POSITIONS angstrom
Dy 1.0409 1.8740 1.3398
Dy -0.0513 0.0000 5.0511
Dy 1.0409 -1.8740 1.3398
Dy 3.1981 1.8740 5.0205
Dy 4.2904 0.0000 1.3092
Dy 3.1981 -1.8740 5.0205
C 0.0000 0.0000 0.0000
C 3.1893 1.8665 0.0000
C 3.1893 -1.8665 0.0000
S 2.1195 3.6895 3.1802
S 2.1195 -3.6895 3.1802
```

***

Entry 6:
Computed, not measured: an optimized crystal structure of Dy3CS at the PBE level of DFT. Values from VASP.

- Space-group type: P2_1/m
- E_form (uncorrected): -3.83 eV per formula unit
- E: -0.4555 Ry per atom
- Size of the total moment: 0.0 μB per cell
- Density of states at the Fermi level: 4.86 states/eV per cell

Geometry as Quantum ESPRESSO input:
```
&SYSTEM
  ibrav = 0, nat = 10, ntyp = 3
/
ATOMIC_SPECIES
Dy 162.50 Dy.upf
C 12.01 C.upf
S 32.06 S.upf
CELL_PARAMETERS angstrom
3.6854 0.0000 0.0000
0.0000 6.9330 0.0000
-1.8372 0.0000 8.7966
ATOMIC_POSITIONS angstrom
Dy 0.0039 1.7332 0.1610
Dy 0.0039 0.2003 6.1344
Dy 0.0039 3.2661 6.1344
Dy 1.8443 3.6668 2.6622
Dy 1.8443 6.7326 2.6622
Dy 1.8444 5.1997 8.6356
C 0.0034 5.1997 2.0811
C 1.8449 1.7332 6.7155
S 0.0020 1.7332 3.6298
S 1.8463 5.1997 5.1668
```

***

Entry 7:
Computed, not measured: an optimized crystal structure of Dy4CS at the PBE level of DFT. Values from VASP.

- Space-group type: P2/m
- E_form (uncorrected): -4.79 eV per formula unit
- E: -0.4477 Ry per atom
- Size of the total moment: 0.1 μB per cell
- Density of states at the Fermi level: 5.48 states/eV per cell

Geometry as Quantum ESPRESSO input:
```
&SYSTEM
  ibrav = 0, nat = 6, ntyp = 3
/
ATOMIC_SPECIES
Dy 162.50 Dy.upf
C 12.01 C.upf
S 32.06 S.upf
CELL_PARAMETERS angstrom
6.4047 0.0000 0.0000
0.0000 3.7052 0.0000
-2.0766 0.0000 6.1919
ATOMIC_POSITIONS angstrom
Dy 1.0446 0.0000 1.3389
Dy -0.0556 1.8526 4.7796
Dy 4.3837 1.8526 1.4123
Dy 3.2836 0.0000 4.8530
C 0.0000 1.8526 0.0000
S -1.0383 0.0000 3.0959
```

***

Entry 8:
Computed, not measured: an optimized crystal structure of Dy6C2S3 at the PBE level of DFT. Values from VASP.

- Space-group type: R-3m
- E_form (uncorrected): -13.78 eV per formula unit
- E: -0.4826 Ry per atom
- Size of the total moment: 0.0 μB per cell
- Density of states at the Fermi level: 5.49 states/eV per cell

Geometry as Quantum ESPRESSO input:
```
&SYSTEM
  ibrav = 0, nat = 11, ntyp = 3
/
ATOMIC_SPECIES
Dy 162.50 Dy.upf
C 12.01 C.upf
S 32.06 S.upf
CELL_PARAMETERS angstrom
1.8631 1.0756 19.3020
-1.8631 1.0756 19.3020
0.0000 -2.1513 19.3020
ATOMIC_POSITIONS angstrom
Dy 0.0000 0.0000 5.1679
Dy 0.0000 0.0000 11.4923
Dy 0.0000 0.0000 20.9973
Dy 0.0000 0.0000 36.9088
Dy 0.0000 0.0000 46.4137
Dy 0.0000 0.0000 52.7381
C 0.0000 0.0000 25.8774
C 0.0000 0.0000 32.0287
S 0.0000 0.0000 0.0000
S 0.0000 0.0000 15.9286
S 0.0000 0.0000 41.9775
```

***

Entry 9:
Computed, not measured: an optimized crystal structure of DyScCS at the PBE level of DFT. Values from VASP.

- Space-group type: R3m
- E_form (uncorrected): -5.10 eV per formula unit
- E: -0.5399 Ry per atom
- Size of the total moment: 0.0 μB per cell
- Density of states at the Fermi level: 0.26 states/eV per cell

Geometry as Quantum ESPRESSO input:
```
&SYSTEM
  ibrav = 0, nat = 4, ntyp = 4
/
ATOMIC_SPECIES
Dy 162.50 Dy.upf
Sc 44.96 Sc.upf
C 12.01 C.upf
S 32.06 S.upf
CELL_PARAMETERS angstrom
1.7963 1.0371 6.1422
-1.7963 1.0371 6.1422
0.0000 -2.0742 6.1422
ATOMIC_POSITIONS angstrom
Dy 0.0000 0.0000 0.0000
Sc 0.0000 0.0000 9.7055
C 0.0000 0.0000 4.7969
S 0.0000 0.0000 14.1812
```

***

Entry 10:
Computed, not measured: an optimized crystal structure of Dy6CSe2S3 at the PBE level of DFT. Values from VASP.

- Space-group type: C2/m
- E_form (uncorrected): -20.41 eV per formula unit
- E: -0.4691 Ry per atom
- Size of the total moment: 0.0 μB per cell
- Density of states at the Fermi level: 3.20 states/eV per cell

Geometry as Quantum ESPRESSO input:
```
&SYSTEM
  ibrav = 0, nat = 12, ntyp = 4
/
ATOMIC_SPECIES
Dy 162.50 Dy.upf
C 12.01 C.upf
Se 78.96 Se.upf
S 32.06 S.upf
CELL_PARAMETERS angstrom
8.6443 -1.9325 0.0000
8.6443 1.9325 0.0000
-1.7162 0.0000 7.7521
ATOMIC_POSITIONS angstrom
Dy -0.4663 0.0000 2.2239
Dy 4.3820 0.0000 7.0127
Dy 5.3857 0.0000 3.3804
Dy 10.1867 0.0000 4.3717
Dy 11.1904 0.0000 0.7393
Dy 16.0387 0.0000 5.5281
C 7.7862 0.0000 3.8760
Se 1.5019 0.0000 6.4878
Se 14.0705 0.0000 1.2642
S 2.3394 0.0000 2.6224
S 8.6443 0.0000 0.0000
S 13.2330 0.0000 5.1297
```

***

Entry 11:
Computed, not measured: an optimized crystal structure of Dy6C2SeS3 at the PBE level of DFT. Values from VASP.

- Space-group type: C2/m
- E_form (uncorrected): -18.08 eV per formula unit
- E: -0.4900 Ry per atom
- Size of the total moment: 0.0 μB per cell
- Density of states at the Fermi level: 3.30 states/eV per cell

Geometry as Quantum ESPRESSO input:
```
&SYSTEM
  ibrav = 0, nat = 12, ntyp = 4
/
ATOMIC_SPECIES
Dy 162.50 Dy.upf
C 12.01 C.upf
Se 78.96 Se.upf
S 32.06 S.upf
CELL_PARAMETERS angstrom
8.3960 -1.8963 0.0000
8.3960 1.8963 0.0000
-1.8092 0.0000 7.6349
ATOMIC_POSITIONS angstrom
Dy -0.1847 0.0000 2.0701
Dy 4.6566 0.0000 3.3238
Dy 3.8939 0.0000 6.6840
Dy 11.0889 0.0000 0.9509
Dy 10.3262 0.0000 4.3111
Dy 15.1674 0.0000 5.5648
C 2.2291 0.0000 2.5671
C 12.7537 0.0000 5.0678
Se 8.3960 0.0000 0.0000
S 1.1988 0.0000 6.3770
S 7.4914 0.0000 3.8174
S 13.7840 0.0000 1.2579
```

***

Entry 12:
Computed, not measured: an optimized crystal structure of Dy4CSe2S at the PBE level of DFT. Values from VASP.

- Space-group type: P2/m
- E_form (uncorrected): -12.54 eV per formula unit
- E: -0.4710 Ry per atom
- Size of the total moment: 0.0 μB per cell
- Density of states at the Fermi level: 2.24 states/eV per cell

Geometry as Quantum ESPRESSO input:
```
&SYSTEM
  ibrav = 0, nat = 8, ntyp = 4
/
ATOMIC_SPECIES
Dy 162.50 Dy.upf
C 12.01 C.upf
Se 78.96 Se.upf
S 32.06 S.upf
CELL_PARAMETERS angstrom
6.7671 0.0000 0.0000
0.0000 3.8554 0.0000
-2.2168 0.0000 6.5810
ATOMIC_POSITIONS angstrom
Dy 0.9986 0.0000 1.3746
Dy -0.1422 1.9277 5.1566
Dy 4.6926 1.9277 1.4245
Dy 3.5517 0.0000 5.2064
C 0.0000 1.9277 0.0000
Se -1.1084 0.0000 3.2905
Se 2.2752 1.9277 3.2905
S 3.3836 0.0000 0.0000
```